Sm6AsBr8 after structural relaxation, computed with GGA-PBE.

Values from the calculation:
E_form (uncorrected)   -1.508 eV per atom

a b c (Å): 11.394 11.394 11.394
angles (deg): 37.41 37.41 37.41
Fractional coordinates of all 15 atoms:
Sm  0.139  0.450  0.760
Sm  0.240  0.861  0.550
Sm  0.450  0.760  0.139
Sm  0.550  0.240  0.861
Sm  0.760  0.139  0.450
Sm  0.861  0.550  0.240
As  0.500  0.500  0.500
Br  0.055  0.732  0.394
Br  0.167  0.167  0.167
Br  0.268  0.606  0.945
Br  0.394  0.055  0.732
Br  0.606  0.945  0.268
Br  0.732  0.394  0.055
Br  0.833  0.833  0.833
Br  0.945  0.268  0.606

Sm2AsBr after structural relaxation, computed with GGA-PBE.

Values from the calculation:
E_form (uncorrected)   -1.385 eV per atom

a b c (Å): 7.821 7.821 7.821
angles (deg): 30.64 30.64 30.64
Fractional coordinates of all 4 atoms:
Sm  0.000  0.000  0.000
Sm  0.193  0.193  0.193
As  0.598  0.598  0.598
Br  0.429  0.429  0.429

Sm3As2Br after structural relaxation, computed with GGA-PBE.

Values from the calculation:
E_form (uncorrected)   -1.138 eV per atom

a b c (Å): 7.893 7.893 11.729
angles (deg): 90.00 90.00 148.95
Fractional coordinates of all 12 atoms:
Sm  0.012  0.988  0.750
Sm  0.368  0.632  0.009
Sm  0.368  0.632  0.491
Sm  0.632  0.368  0.509
Sm  0.632  0.368  0.991
Sm  0.988  0.012  0.250
As  0.000  0.000  0.000
As  0.000  0.000  0.500
As  0.357  0.643  0.250
As  0.643  0.357  0.750
Br  0.362  0.638  0.750
Br  0.638  0.362  0.250

Sm4As3Br after structural relaxation, computed with GGA-PBE.

Values from the calculation:
E_form (uncorrected)   -1.495 eV per atom

a b c (Å): 7.327 7.327 4.210
angles (deg): 90.00 90.00 109.19
Fractional coordinates of all 8 atoms:
Sm  0.229  0.229  0.500
Sm  0.241  0.759  0.000
Sm  0.759  0.241  0.000
Sm  0.771  0.771  0.500
As  0.000  0.000  0.000
As  0.000  0.500  0.500
As  0.500  0.000  0.500
Br  0.500  0.500  0.000

Sm3AsBr3 after structural relaxation, computed with GGA-PBE.

Values from the calculation:
E_form (uncorrected)   -1.568 eV per atom

a b c (Å): 10.268 10.268 10.268
angles (deg): 109.47 109.47 109.47
Fractional coordinates of all 28 atoms:
Sm  0.012  0.024  0.262
Sm  0.012  0.488  0.750
Sm  0.024  0.262  0.012
Sm  0.238  0.262  0.750
Sm  0.238  0.476  0.488
Sm  0.262  0.012  0.024
Sm  0.262  0.750  0.238
Sm  0.476  0.488  0.238
Sm  0.488  0.238  0.476
Sm  0.488  0.750  0.012
Sm  0.750  0.012  0.488
Sm  0.750  0.238  0.262
As  0.000  0.250  0.500
As  0.250  0.250  0.250
As  0.250  0.500  0.000
As  0.500  0.000  0.250
Br  0.250  0.755  0.745
Br  0.250  0.995  0.505
Br  0.505  0.250  0.995
Br  0.505  0.755  0.510
Br  0.510  0.505  0.755
Br  0.745  0.250  0.755
Br  0.745  0.995  0.990
Br  0.755  0.510  0.505
Br  0.755  0.745  0.250
Br  0.990  0.745  0.995
Br  0.995  0.505  0.250
Br  0.995  0.990  0.745

Sm2AsBr2 after structural relaxation, computed with GGA-PBE.

Values from the calculation:
E_form (uncorrected)   -1.723 eV per atom

a b c (Å): 10.916 10.916 10.916
angles (deg): 22.05 22.05 22.05
Fractional coordinates of all 5 atoms:
Sm  0.116  0.116  0.116
Sm  0.884  0.884  0.884
As  0.500  0.500  0.500
Br  0.274  0.274  0.274
Br  0.726  0.726  0.726

Sm3TeAsBr after structural relaxation, computed with GGA-PBE.

Values from the calculation:
E_form (uncorrected)   -1.297 eV per atom

a b c (Å): 8.933 4.182 10.198
angles (deg): 90.00 92.42 90.00
Fractional coordinates of all 12 atoms:
Sm  0.103  0.250  0.352
Sm  0.144  0.250  0.923
Sm  0.361  0.750  0.632
Sm  0.639  0.250  0.368
Sm  0.856  0.750  0.077
Sm  0.897  0.750  0.648
Te  0.370  0.750  0.324
Te  0.630  0.250  0.676
As  0.130  0.250  0.639
As  0.870  0.750  0.361
Br  0.371  0.750  0.922
Br  0.629  0.250  0.078

Sm8Te4As3Br after structural relaxation, computed with GGA-PBE.

Values from the calculation:
E_form (uncorrected)   -1.459 eV per atom

a b c (Å): 8.756 8.756 8.756
angles (deg): 58.82 58.82 58.82
Fractional coordinates of all 16 atoms:
Sm  0.224  0.749  0.749
Sm  0.239  0.239  0.239
Sm  0.251  0.251  0.776
Sm  0.251  0.776  0.251
Sm  0.749  0.224  0.749
Sm  0.749  0.749  0.224
Sm  0.761  0.761  0.761
Sm  0.776  0.251  0.251
Te  0.000  0.000  0.000
Te  0.000  0.500  0.500
Te  0.500  0.000  0.500
Te  0.500  0.500  0.000
As  0.000  0.000  0.500
As  0.000  0.500  0.000
As  0.500  0.000  0.000
Br  0.500  0.500  0.500